This record from the Alexandria database describes Cs3RbZr after structural relaxation. The functional is PBE.

Structure (POSCAR):
```
Cs3RbZr
1.0
-2.0094 -4.9682 -5.1675
-1.9053 -4.8035 5.3591
-6.9106 2.7690 0.0250
Cs Rb Zr
3 1 1
Direct
0.0000 0.5000 0.0000
0.0000 0.0000 0.5000
0.5000 0.0000 0.0000
0.5000 0.5000 0.5000
0.0000 0.0000 0.0000
```

Results
- DFT total energy (eV per atom) = -1.578
- energy above the most stable polymorph in this dataset (meV per atom) = 0.0
- space-group type = Pm-3m (221)
- total magnetization (μB/f.u.) = 4.3
- formation energy from the elements (eV/atom) = 0.84


This record from the Alexandria database describes Al2CoPtPb after structural relaxation. The functional is PBE.

Structure (POSCAR):
```
Al2CoPtPb
1.0
5.2882 0.0000 0.0000
0.0000 5.0878 0.0000
0.0000 0.0000 5.2882
Pb Co Al Pt
1 1 2 1
Direct
0.0000 0.0000 0.0000
0.5000 0.5000 0.5000
0.0000 0.0000 0.5000
0.5000 0.0000 0.0000
0.0000 0.5000 0.0000
```

Results
- DFT total energy (eV per atom) = -3.347
- space-group type = P4/mmm (123)
- total magnetization (μB/f.u.) = 2.2
- formation energy from the elements (eV/atom) = 1.52


This record from the Alexandria database describes CsKPPt after structural relaxation. The functional is PBE.

Structure (POSCAR):
```
CsKPPt
1.0
4.2795 0.0000 0.0000
0.0000 6.1735 -0.0019
0.0000 -3.0795 5.3399
Cs K P Pt
1 1 1 1
Direct
0.0000 0.2247 0.0760
0.0000 0.8863 0.3995
0.5000 0.6184 0.8614
0.0000 0.5510 0.7284
```

Results
- DFT total energy (eV per atom) = -3.723
- space-group type = Pm (6)
- total magnetization (μB/f.u.) = 0.0
- formation energy from the elements (eV/atom) = -0.37


This record from the Alexandria database describes K3Be2RuO6 after structural relaxation. The functional is PBE.

Structure (POSCAR):
```
K3Be2RuO6
1.0
-4.2270 3.4040 -0.6311
1.9185 -2.7969 -4.2837
-4.2611 -5.0356 1.3795
K Be Ru O
3 2 1 6
Direct
0.3333 0.6667 0.7373
0.6667 0.3333 0.2626
0.0000 0.0000 0.0000
0.6667 0.3333 0.6715
0.3333 0.6667 0.3285
0.0000 0.0000 0.5000
0.6605 0.8303 0.3237
0.1697 0.3394 0.3237
0.1697 0.8303 0.3237
0.8303 0.6606 0.6763
0.3395 0.1697 0.6763
0.8303 0.1697 0.6763
```

Results
- DFT total energy (eV per atom) = -5.824
- space-group type = P-3m1 (164)
- total magnetization (μB/f.u.) = 3.0
- uncorrected formation energy (eV per atom) = -1.68


| no. | calculated density (Mg/m³) |
| --- | --- |
| 1 | 2.316 |
| 2 | 6.013 |
| 3 | 4.686 |
| 4 | 3.168 |